Record 1
10
Lattice="-2.388 3.038 -0.941 -0.010 -1.184 -3.797 -11.485 -8.222 2.596" Properties=species:S:1:pos:R:3 comment="PaAlSb2N (PBE-GGA, optimized geometry)" e_tot_ev_per_atom=-6.672 spacegroup="P4/nmm, No. 129" crystal_system=tetragonal pbc="T T T"
Pa -7.867 -3.258 1.038
Pa -4.817 -4.037 -0.811
Al -2.471 0.605 -0.182
Al -10.213 -7.900 0.409
Sb -8.058 -6.357 -0.078
Sb -1.000 -1.304 -1.674
Sb -11.685 -5.991 1.901
Sb -4.626 -0.938 0.305
N -5.743 -4.111 1.298
N -6.942 -3.184 -1.071

=====

Record 2
4
Lattice="-2.427 2.340 -1.449 -2.053 -0.655 2.380 3.205 6.071 4.436" Properties=species:S:1:pos:R:3 comment="LiTe (PBE-GGA, optimized geometry)" relative_energy_mev_per_atom=63 spacegroup="Amm2, No. 38" crystal_system=orthorhombic pbc="T T T"
Li -0.457 2.602 0.322
Li 0.118 5.310 3.729
Te 3.044 5.765 4.212
Te 0.414 2.402 3.185

=====

Record 3
12
Lattice="6.260 -0.014 0.000 -3.141 5.416 0.000 -1.068 -1.849 11.699" Properties=species:S:1:pos:R:3 comment="Tb2Pm6Nd3In (PBE-GGA, optimized geometry)" spacegroup="C2/m, No. 12" crystal_system=monoclinic delta_e_f_ev_per_atom=-0.038 pbc="T T T"
Tb 0.002 3.601 0.000
Tb 3.118 1.801 0.000
Pm 3.087 1.806 8.853
Pm 2.092 3.622 2.869
Pm -1.035 1.747 2.845
Pm 0.022 3.576 8.853
Pm -0.040 -0.070 8.829
Pm 2.030 -0.023 2.845
Nd -2.087 3.574 5.849
Nd 4.139 -0.022 5.849
Nd 1.026 1.776 5.849
In 0.000 0.000 0.000

=====

Record 4
18
Lattice="-4.051 3.731 9.319 -4.650 -6.124 6.485 5.883 1.456 8.029" Properties=species:S:1:pos:R:3 comment="CoPd2I6 (PBE-GGA, optimized geometry)" e_tot_ev_per_atom=-3.052 spacegroup="C2/c, No. 15" crystal_system=monoclinic pbc="T T T"
Co -4.185 -4.128 9.032
Co 1.368 3.192 14.801
Pd -2.048 -0.210 9.987
Pd -3.751 0.451 18.365
Pd -0.770 -0.727 13.846
Pd 0.934 -1.388 5.467
I -2.361 0.965 12.507
I -2.267 0.119 16.017
I -0.457 -1.901 11.326
I -0.551 -1.056 7.816
I 3.127 0.206 6.137
I 1.504 0.895 13.831
I -5.945 -1.142 17.696
I -4.321 -1.832 10.002
I -2.988 1.979 8.796
I -2.212 -1.308 19.644
I 0.171 -2.916 15.037
I -0.605 0.371 4.189

=====

Record 5
6
Lattice="5.019 0.033 0.041 0.673 4.387 0.029 -0.560 0.180 6.833" Properties=species:S:1:pos:R:3 comment="SrTcRh (PBE-GGA, optimized geometry)" relative_energy_mev_per_atom=113 spacegroup="P-1, No. 2" crystal_system=triclinic delta_e_f_ev_per_atom=0.204 pbc="T T T"
Sr 4.194 0.871 2.614
Sr 1.966 3.050 4.669
Rh 2.391 0.903 0.151
Rh 4.330 2.838 0.299
Tc 1.781 3.236 0.921
Tc 4.380 0.685 6.362

=====

Record 6
6
Lattice="4.361 0.000 0.000 0.000 4.361 0.000 0.000 0.000 5.645" Properties=species:S:1:pos:R:3 comment="CaGa2Co2Ge (PBE-GGA, optimized geometry)" spacegroup="P4/mmm, No. 123" crystal_system=tetragonal delta_e_f_ev_per_atom=-0.163 pbc="T T T"
Ca 0.000 0.000 2.823
Ga 2.181 2.181 4.205
Ga 2.181 2.181 1.440
Co 2.181 0.000 0.000
Co 0.000 2.181 0.000
Ge 0.000 0.000 0.000

=====

Record 7
3
Lattice="3.127 0.000 0.000 0.000 5.202 0.000 0.000 -2.601 4.505" Properties=species:S:1:pos:R:3 comment="DyZrIn (PBE-GGA, optimized geometry)" relative_energy_mev_per_atom=247 spacegroup="P-6m2, No. 187" crystal_system=hexagonal delta_e_f_ev_per_atom=0.027 pbc="T T T"
In 2.084 2.601 1.502
Zr 0.524 0.000 0.000
Dy 0.519 0.000 3.004

=====

Record 8
8
Lattice="-5.107 -4.207 -0.017 3.905 -4.751 2.443 -2.699 -1.965 9.456" Properties=species:S:1:pos:R:3 comment="KAsI2 (PBE-GGA, optimized geometry)" relative_energy_mev_per_atom=0 spacegroup="I-42d, No. 122" crystal_system=tetragonal pbc="T T T"
I -3.850 -4.102 2.657
I 1.598 -3.598 3.890
I -2.835 -4.395 7.776
I -2.716 -9.749 9.440
As 0.000 0.000 0.000
As -4.204 -5.325 5.326
K -0.601 -4.479 1.213
K 0.303 -5.597 6.556

=====

Record 9
22
Lattice="-3.850 1.912 -4.676 -6.140 -4.422 3.247 -2.278 6.489 4.529" Properties=species:S:1:pos:R:3 comment="Rb3AuF7 (PBE-GGA, optimized geometry)" e_tot_ev_per_atom=-3.749 spacegroup="P4/mbm, No. 127" crystal_system=tetragonal pbc="T T T"
Rb -4.623 4.583 1.366
Rb -7.988 3.213 3.577
Rb -4.280 0.765 -0.477
Rb -7.646 -0.605 1.734
Rb -4.209 1.033 3.888
Rb 0.000 0.000 0.000
Au -1.139 3.244 2.264
Au -3.070 -2.211 1.624
F -7.246 5.475 1.673
F -7.002 -0.514 -0.977
F -4.520 3.373 -1.430
F -9.727 1.588 2.127
F -5.266 4.493 4.077
F -7.748 0.605 4.531
F -2.541 2.390 0.974
F -5.023 -1.497 1.427
F -1.925 0.956 -2.338
F -6.134 1.989 1.550
F -5.870 -1.524 4.209
F -2.423 -0.384 1.838
F -5.995 2.451 5.938
F -2.549 3.591 3.567

=====

Record 10
4
Lattice="6.975 0.026 -0.002 4.127 5.622 0.002 -5.180 -3.553 3.031" Properties=species:S:1:pos:R:3 comment="BaYRe2 (PBE-GGA, optimized geometry)" relative_energy_mev_per_atom=243 spacegroup="Imm2, No. 44" crystal_system=orthorhombic delta_e_f_ev_per_atom=0.514 pbc="T T T"
Ba 4.070 -0.150 1.514
Re 0.456 0.232 0.000
Re 1.175 1.900 1.517
Y 5.772 2.936 0.000

=====

Record 11
7
Lattice="0.010 -3.879 -3.383 -0.945 -3.327 3.812 -5.603 4.339 -1.076" Properties=species:S:1:pos:R:3 comment="YHo2Zn4 (PBE-GGA, optimized geometry)" spacegroup="I4/mmm, No. 139" crystal_system=tetragonal delta_e_f_ev_per_atom=-0.159 pbc="T T T"
Y 0.000 0.000 0.000
Ho -3.183 -3.274 -0.171
Ho -3.355 0.407 -0.476
Zn -5.187 -1.092 1.237
Zn -4.710 -1.368 -2.361
Zn -1.351 -1.775 -1.884
Zn -1.828 -1.499 1.713

=====

Record 12
20
Lattice="-4.387 4.417 6.556 6.239 -4.230 4.992 5.040 6.777 -3.226" Properties=species:S:1:pos:R:3 comment="La7Nd12Mg (PBE-GGA, optimized geometry)" relative_energy_mev_per_atom=0 spacegroup="R-3m, No. 166" crystal_system=trigonal delta_e_f_ev_per_atom=0.068 pbc="T T T"
La 4.236 7.137 5.807
La -0.226 2.168 2.941
La 2.327 2.811 0.289
La 3.446 3.482 4.161
La 4.565 4.153 8.033
La 7.117 4.796 5.380
La 2.656 -0.173 2.514
Nd 5.348 3.946 -1.112
Nd 3.385 8.969 2.928
Nd 1.389 5.971 2.778
Nd 0.896 4.743 6.221
Nd 8.853 1.941 4.281
Nd 4.984 5.766 1.980
Nd 1.908 1.198 6.342
Nd -1.962 5.024 4.040
Nd 5.996 2.221 2.100
Nd 5.503 0.994 5.543
Nd 3.506 -2.005 5.394
Nd 1.544 3.018 9.433
Mg 0.000 0.000 0.000

=====

Which formula does entry 4 have?
CoPd2I6

=====

What did the third record say?
12
Lattice="6.260 -0.014 0.000 -3.141 5.416 0.000 -1.068 -1.849 11.699" Properties=species:S:1:pos:R:3 comment="Tb2Pm6Nd3In (PBE-GGA, optimized geometry)" spacegroup="C2/m, No. 12" crystal_system=monoclinic delta_e_f_ev_per_atom=-0.038 pbc="T T T"
Tb 0.002 3.601 0.000
Tb 3.118 1.801 0.000
Pm 3.087 1.806 8.853
Pm 2.092 3.622 2.869
Pm -1.035 1.747 2.845
Pm 0.022 3.576 8.853
Pm -0.040 -0.070 8.829
Pm 2.030 -0.023 2.845
Nd -2.087 3.574 5.849
Nd 4.139 -0.022 5.849
Nd 1.026 1.776 5.849
In 0.000 0.000 0.000